# 1
TiP3Br | GGA-PBE | relaxed

Cell: 4.6971 4.6971 4.6971 Å, 90.00 90.00 90.00°
With the nearest neighbours (Å) after each atom.
Fractional coordinates of all 5 atoms:
Ti  0.0000  0.0000  0.0000  12 P 3.32
P  0.0000  0.5000  0.5000  2 Br 2.35
P  0.5000  0.0000  0.5000  2 Br 2.35
P  0.5000  0.5000  0.0000  2 Br 2.35
Br  0.5000  0.5000  0.5000  6 P 2.35

Summary:
* raw total energy: -19.15 eV per cell
* ΔE_f (raw): 1.330 eV/atom
* SG: No. 221
* energy above the most stable polymorph in this dataset: 23.34 kcal/mol of atoms

***

# 2
Ag2AsP | GGA-PBE | relaxed

Cell: 5.0144 5.0144 2.9879 Å, 90.00 90.00 107.28°
With the nearest neighbours (Å) after each atom.
Fractional coordinates of all 4 atoms:
Ag  0.0000  0.5000  0.0000  4 As 2.92, 4 P 2.92, 4 Ag 2.97-2.99
Ag  0.5000  0.0000  0.0000  4 As 2.92, 4 P 2.92, 4 Ag 2.97-2.99
As  0.0000  0.0000  0.5000  8 Ag 2.92, 2 P 2.97, 2 As 2.99
P  0.5000  0.5000  0.5000  8 Ag 2.92, 2 As 2.97, 2 P 2.99

Summary:
* raw total energy: -14.37 eV per cell
* ΔE_f: 0.35 eV/atom
* SG: No. 65
* energy above the most stable polymorph in this dataset: 3.66 kcal/mol of atoms

***

# 3
Ti3GaH2 | GGA-PBE | relaxed

Cell: 5.7083 5.7083 4.5998 Å, 90.00 90.00 109.66°
With the nearest neighbours (Å) after each atom.
Fractional coordinates of all 12 atoms:
Ti  0.1330  0.8670  0.7500  4 H 1.93
Ti  0.1792  0.4023  0.7500  2 H 1.84
Ti  0.4023  0.1792  0.2500  2 H 1.84
Ti  0.5977  0.8208  0.7500  2 H 1.84
Ti  0.8208  0.5977  0.2500  2 H 1.84
Ti  0.8670  0.1330  0.2500  4 H 1.93
Ga  0.3256  0.6744  0.2500  10 Ti 2.74-3.00
Ga  0.6744  0.3256  0.7500  10 Ti 2.74-3.00
H  0.1415  0.1415  0.0000  4 Ti 1.84-1.93, 1 H 1.86
H  0.1415  0.1415  0.5000  4 Ti 1.84-1.93, 1 H 1.86
H  0.8585  0.8585  0.0000  4 Ti 1.84-1.93, 1 H 1.86
H  0.8585  0.8585  0.5000  4 Ti 1.84-1.93, 1 H 1.86

Summary:
* raw total energy: -71.99 eV per cell
* SG: No. 63
* energy above the most stable polymorph in this dataset: 0.00 kcal/mol of atoms

***

# 4
Sr2GaSb | GGA-PBE | relaxed

Cell: 5.6428 5.6428 5.6428 Å, 60.00 60.00 60.00°
With the nearest neighbours (Å) after each atom.
Fractional coordinates of all 4 atoms:
Sr  0.2500  0.2500  0.2500  4 Sb 3.46, 4 Ga 3.46
Sr  0.7500  0.7500  0.7500  4 Sb 3.46, 4 Ga 3.46
Ga  0.0000  0.0000  0.0000  8 Sr 3.46
Sb  0.5000  0.5000  0.5000  8 Sr 3.46

Summary:
* raw total energy: -12.83 eV per cell
* ΔE_f (raw): -0.580 eV/atom
* SG: No. 225
* energy above the most stable polymorph in this dataset: 1.25 kcal/mol of atoms

***

# 5
BPd6Se2 | GGA-PBE | relaxed

Cell: 5.7093 5.0613 10.4031 Å, 90.00 104.61 90.00°
With the nearest neighbours (Å) after each atom.
Fractional coordinates of all 18 atoms:
B  0.0000  0.0000  0.0000  6 Pd 2.08-2.11
B  0.0000  0.5000  0.5000  6 Pd 2.08-2.11
Pd  0.0248  0.1949  0.1820  1 B 2.11
Pd  0.0248  0.3051  0.6820  1 B 2.11
Pd  0.2184  0.6934  0.0962  1 B 2.08
Pd  0.2184  0.8066  0.5962  1 B 2.08
Pd  0.3105  0.1936  0.9721  1 B 2.11
Pd  0.3105  0.3064  0.4721  1 B 2.11
Pd  0.6895  0.6936  0.5279  1 B 2.11
Pd  0.6895  0.8064  0.0279  1 B 2.11
Pd  0.7816  0.1934  0.4038  1 B 2.08
Pd  0.7816  0.3066  0.9038  1 B 2.08
Pd  0.9752  0.6949  0.3180  1 B 2.11
Pd  0.9752  0.8051  0.8180  1 B 2.11
Se  0.3738  0.5868  0.8294  6 Pd 2.51-2.67
Se  0.3738  0.9132  0.3294  6 Pd 2.51-2.67
Se  0.6262  0.0868  0.6706  6 Pd 2.51-2.67
Se  0.6262  0.4132  0.1706  6 Pd 2.51-2.67

Summary:
* raw total energy: -93.17 eV per cell
* ΔE_f (raw): -0.198 eV/atom
* SG: No. 14
* energy above the most stable polymorph in this dataset: 0.00 kcal/mol of atoms

***

# 6
LiAcCeTe3 | GGA-PBE | relaxed

Cell: 9.4000 4.4521 9.8474 Å, 90.00 103.92 90.00°
With the nearest neighbours (Å) after each atom.
Fractional coordinates of all 12 atoms:
Li  0.0864  0.2500  0.0879  4 Te 2.76-2.79, 2 Li 3.04
Li  0.9136  0.7500  0.9121  4 Te 2.76-2.79, 2 Li 3.04
Ac  0.1832  0.2500  0.7319  7 Te 3.33-3.45
Ac  0.8168  0.7500  0.2681  7 Te 3.33-3.45
Ce  0.3389  0.7500  0.3461  6 Te 3.17-3.28
Ce  0.6611  0.2500  0.6539  6 Te 3.17-3.28
Te  0.0973  0.2500  0.3715  1 Li 2.77
Te  0.2181  0.7500  0.0051  3 Li 2.76-2.79
Te  0.4298  0.7500  0.6825  3 Ce 3.17-3.22, 2 Ac 3.33
Te  0.5702  0.2500  0.3175  3 Ce 3.17-3.22, 2 Ac 3.33
Te  0.7819  0.2500  0.9949  3 Li 2.76-2.79
Te  0.9027  0.7500  0.6285  1 Li 2.77

Summary:
* raw total energy: -58.78 eV per cell
* ΔE_f (raw): -1.335 eV/atom
* SG: No. 11

***

# 7
EuTmH | GGA-PBE | relaxed

Cell: 8.4065 5.2176 7.2286 Å, 90.00 113.92 90.00°
With the nearest neighbours (Å) after each atom.
Fractional coordinates of all 12 atoms:
Eu  0.1386  0.2416  0.4404  1 H 2.33
Eu  0.1386  0.2584  0.9404  1 H 2.33
Eu  0.8614  0.7416  0.0596  1 H 2.33
Eu  0.8614  0.7584  0.5596  1 H 2.33
Tm  0.3981  0.7450  0.8211  3 H 2.14-2.19
Tm  0.3981  0.7550  0.3211  3 H 2.14-2.19
Tm  0.6019  0.2450  0.6789  3 H 2.14-2.19
Tm  0.6019  0.2550  0.1789  3 H 2.14-2.19
H  0.3859  0.5149  0.0673  3 Tm 2.14-2.19, 1 Eu 2.33
H  0.3859  0.9851  0.5673  3 Tm 2.14-2.19, 1 Eu 2.33
H  0.6141  0.0149  0.4327  3 Tm 2.14-2.19, 1 Eu 2.33
H  0.6141  0.4851  0.9327  3 Tm 2.14-2.19, 1 Eu 2.33

Summary:
* raw total energy: -75.55 eV per cell
* SG: No. 14
* energy above the most stable polymorph in this dataset: 0.00 kcal/mol of atoms

***

# 8
CsPa4Pd3O12 | GGA-PBE | relaxed

Cell: 7.2906 7.2906 7.2906 Å, 109.47 109.47 109.47°
With the nearest neighbours (Å) after each atom.
Fractional coordinates of all 20 atoms:
Cs  0.0000  0.0000  0.0000  12 O 2.97
Pa  0.0000  0.0000  0.5000  6 O 2.22
Pa  0.0000  0.5000  0.0000  6 O 2.22
Pa  0.5000  0.0000  0.0000  6 O 2.22
Pa  0.5000  0.5000  0.5000  6 O 2.22
Pd  0.0000  0.5000  0.5000  4 O 2.28
Pd  0.5000  0.0000  0.5000  4 O 2.28
Pd  0.5000  0.5000  0.0000  4 O 2.28
O  0.1170  0.3014  0.8156  2 Pa 2.22, 1 Pd 2.28
O  0.1844  0.4858  0.3014  2 Pa 2.22, 1 Pd 2.28
O  0.1844  0.8830  0.6986  2 Pa 2.22, 1 Pd 2.28
O  0.3014  0.1844  0.4858  2 Pa 2.22, 1 Pd 2.28
O  0.3014  0.8156  0.1170  2 Pa 2.22, 1 Pd 2.28
O  0.4858  0.3014  0.1844  2 Pa 2.22, 1 Pd 2.28
O  0.5142  0.6986  0.8156  2 Pa 2.22, 1 Pd 2.28
O  0.6986  0.1844  0.8830  2 Pa 2.22, 1 Pd 2.28
O  0.6986  0.8156  0.5142  2 Pa 2.22, 1 Pd 2.28
O  0.8156  0.1170  0.3014  2 Pa 2.22, 1 Pd 2.28
O  0.8156  0.5142  0.6986  2 Pa 2.22, 1 Pd 2.28
O  0.8830  0.6986  0.1844  2 Pa 2.22, 1 Pd 2.28

Summary:
* raw total energy: -164.13 eV per cell
* ΔE_f (raw): -2.511 eV/atom
* SG: No. 204

***

# 9
Ta2AlPd8 | GGA-PBE | relaxed

Cell: 7.6581 7.6581 7.6581 Å, 145.42 136.22 56.95°
With the nearest neighbours (Å) after each atom.
Fractional coordinates of all 11 atoms:
Ta  0.1890  0.1890  0.0000  12 Pd 2.73-2.90
Ta  0.8110  0.8110  0.0000  12 Pd 2.73-2.90
Al  0.5000  0.5000  0.0000  4 Pd 2.40
Pd  0.0980  0.3616  0.7365  1 Al 2.40
Pd  0.2429  0.0000  0.2429  2 Al 2.71, 8 Pd 2.77-2.94, 2 Ta 2.90
Pd  0.3175  0.8175  0.5000  8 Pd 2.76-2.86, 4 Ta 2.86
Pd  0.3749  0.6384  0.7365  1 Al 2.40
Pd  0.6251  0.3616  0.2635  1 Al 2.40
Pd  0.6825  0.1825  0.5000  8 Pd 2.76-2.86, 4 Ta 2.86
Pd  0.7571  0.0000  0.7571  2 Al 2.71, 8 Pd 2.77-2.94, 2 Ta 2.90
Pd  0.9020  0.6384  0.2635  1 Al 2.40

Summary:
* raw total energy: -74.27 eV per cell
* ΔE_f: -0.48 eV/atom
* SG: No. 71

***

# 10
CsHg4I | GGA-PBE | relaxed

Cell: 6.8524 6.8524 6.8524 Å, 60.00 60.00 60.00°
With the nearest neighbours (Å) after each atom.
Fractional coordinates of all 6 atoms:
Cs  0.0000  0.0000  0.0000  12 Hg 4.02, 4 I 4.20
Hg  0.3767  0.3767  0.3767  6 Hg 3.38-3.47
Hg  0.3767  0.3767  0.8698  6 Hg 3.38-3.47
Hg  0.3767  0.8698  0.3767  6 Hg 3.38-3.47
Hg  0.8698  0.3767  0.3767  6 Hg 3.38-3.47
I  0.7500  0.7500  0.7500  12 Hg 4.01, 4 Cs 4.20

Summary:
* raw total energy: -6.24 eV per cell
* ΔE_f (raw): -0.439 eV/atom
* SG: No. 216

***

Question: Which value of raw total energy does entry 7 give?
Answer: -75.55 eV per cell